[1]
DFT (PBE-GGA) results for a geometry-optimized Ac5Ge4Pb structure.

```
10
Lattice="3.753 0.000 0.000 0.000 3.753 0.000 0.000 0.000 21.743" Properties=species:S:1:pos:R:3 pbc="T T T"
Ac 0.000 0.000 0.000
Ac 0.000 0.000 4.185
Ac 0.000 0.000 8.332
Ac 0.000 0.000 13.411
Ac 0.000 0.000 17.558
Ge 1.877 1.877 2.110
Ge 1.877 1.877 6.332
Ge 1.877 1.877 15.411
Ge 1.877 1.877 19.633
Pb 1.877 1.877 10.871
```

* ΔH_f (0 K): -520 kJ/mol of formula units
* E: -48.1 eV per formula unit

[2]
DFT (PBE-GGA) results for a geometry-optimized NbGa2C structure.

```
8
Lattice="-3.517 3.517 2.303 3.517 -3.517 2.303 3.517 3.517 -2.303" Properties=species:S:1:pos:R:3 pbc="T T T"
Nb 0.000 0.000 0.000
Nb 0.000 3.517 1.152
Ga 1.758 -1.168 1.728
Ga 2.349 1.758 0.576
Ga 1.758 4.684 -0.576
Ga 1.168 1.758 2.879
C 3.517 0.000 1.152
C 0.000 0.000 2.303
```

* ΔH_f (0 K): 190 kJ/mol of formula units
* E: -23.4 eV per formula unit

The lowest ΔH_f (0 K) belongs to which entry?
Ac5Ge4Pb

Repeat the first record exactly.
DFT (PBE-GGA) results for a geometry-optimized Ac5Ge4Pb structure.

```
10
Lattice="3.753 0.000 0.000 0.000 3.753 0.000 0.000 0.000 21.743" Properties=species:S:1:pos:R:3 pbc="T T T"
Ac 0.000 0.000 0.000
Ac 0.000 0.000 4.185
Ac 0.000 0.000 8.332
Ac 0.000 0.000 13.411
Ac 0.000 0.000 17.558
Ge 1.877 1.877 2.110
Ge 1.877 1.877 6.332
Ge 1.877 1.877 15.411
Ge 1.877 1.877 19.633
Pb 1.877 1.877 10.871
```

* ΔH_f (0 K): -520 kJ/mol of formula units
* E: -48.1 eV per formula unit

What is the E in the second record?
-23.4 eV per formula unit

Which of these has the lowest E?
Ac5Ge4Pb